Record 1
Entry from Alexandria via LeMat-Bulk: an optimized crystal structure of K2BeAgRu (PBE-GGA).

Calculated values
formation energy: 7.23 eV/f.u.

a b c (Å): 6.1461 5.1425 6.1461
angles (deg): 90.00 90.00 90.00
Last column: nearest neighbours and their distance in Å.
Atoms (fractional coordinates):
Ru 0.0000 0.0000 0.0000  2 Ag 2.57
K 0.0000 0.0000 0.5000  2 Ru 3.07
K 0.5000 0.0000 0.0000  2 Ru 3.07
Ag 0.0000 0.5000 0.0000  2 Ru 2.57
Be 0.5000 0.5000 0.5000  8 K 4.01, 4 Ag 4.35

=====

Record 2
Entry from Alexandria via LeMat-Bulk: an optimized crystal structure of KBeAgS2 (PBE-GGA).

Calculated values
E_form (uncorrected): -64 kJ per mole of atoms

a b c (Å): 3.7620 7.1129 8.7260
angles (deg): 95.60 90.00 105.33
Last column: nearest neighbours and their distance in Å.
Atoms (fractional coordinates):
K 0.3710 0.7420 0.3504  4 S 3.12-3.15, 2 Ag 3.39
K 0.6290 0.2580 0.6496  4 S 3.12-3.15, 2 Ag 3.39
Be 0.0513 0.1025 0.1574  4 S 2.16-2.24
Be 0.9487 0.8975 0.8426  4 S 2.16-2.24
Ag 0.7189 0.4378 0.1083  2 S 2.47-2.51
Ag 0.2811 0.5622 0.8917  2 S 2.47-2.51
S 0.4089 0.8179 0.7116  2 Be 2.24, 1 Ag 2.47
S 0.5911 0.1821 0.2884  2 Be 2.24, 1 Ag 2.47
S 0.1022 0.2045 0.9315  2 Be 2.16-2.17
S 0.8978 0.7955 0.0685  2 Be 2.16-2.17

=====

Record 3
Entry from Alexandria via LeMat-Bulk: an optimized crystal structure of KScBeAg2 (PBE-GGA).

Calculated values
formation energy: 8.77 eV/f.u.

a b c (Å): 5.2217 5.4970 5.2217
angles (deg): 90.00 90.00 90.00
Last column: nearest neighbours and their distance in Å.
Atoms (fractional coordinates):
Sc 0.0000 0.5000 0.0000  2 K 2.75
Be 0.5000 0.5000 0.5000  4 Sc 3.69, 8 Ag 3.79
K 0.0000 0.0000 0.0000  4 Ag 2.61, 2 Sc 2.75
Ag 0.0000 0.0000 0.5000  2 K 2.61
Ag 0.5000 0.0000 0.0000  2 K 2.61

=====

Record 4
Entry from Alexandria via LeMat-Bulk: an optimized crystal structure of KBeAgTe2 (PBE-GGA).

Calculated values
E_form (uncorrected): -35 kJ per mole of atoms

a b c (Å): 5.6381 7.7378 7.5941
angles (deg): 102.71 90.00 90.00
Last column: nearest neighbours and their distance in Å.
Atoms (fractional coordinates):
K 0.2374 0.5000 0.7500  6 Te 3.59-3.63, 2 Ag 3.99
K 0.7626 0.5000 0.2500  6 Te 3.59-3.63, 2 Ag 3.99
Be 0.0000 0.0000 0.0000  2 Te 2.25
Be 0.0000 0.0000 0.5000  2 Te 2.25
Ag 0.5868 0.0000 0.2500  4 Te 2.82-3.05, 2 Be 3.01
Ag 0.4132 0.0000 0.7500  4 Te 2.82-3.05, 2 Be 3.01
Te 0.7419 0.7747 0.9260  1 Be 2.25
Te 0.7419 0.2253 0.5740  1 Be 2.25
Te 0.2581 0.7747 0.4260  1 Be 2.25
Te 0.2581 0.2253 0.0740  1 Be 2.25

=====

Record 5
Entry from Alexandria via LeMat-Bulk: an optimized crystal structure of KTiBeAg2 (PBE-GGA).

Calculated values
formation energy: 5.04 eV/f.u.

a b c (Å): 4.5870 5.0823 4.5870
angles (deg): 90.00 90.00 90.00
Last column: nearest neighbours and their distance in Å.
Atoms (fractional coordinates):
Be 0.0000 0.0000 0.0000  4 Ag 2.29, 2 K 2.54
K 0.0000 0.5000 0.0000  2 Be 2.54
Ag 0.0000 0.0000 0.5000  2 Be 2.29
Ag 0.5000 0.0000 0.0000  2 Be 2.29
Ti 0.5000 0.5000 0.5000  4 K 3.24, 8 Ag 3.42

=====

Record 6
Entry from Alexandria via LeMat-Bulk: an optimized crystal structure of LaBeAg (PBE-GGA).

Calculated values
formation energy: 1.05 eV/f.u.
energy relative to the lowest polymorph listed for this composition: 368 meV per atom

a b c (Å): 4.7768 4.7768 4.7768
angles (deg): 60.00 60.00 60.00
Last column: nearest neighbours and their distance in Å.
Atoms (fractional coordinates):
Be 0.0000 0.0000 0.0000  4 Ag 2.93
Ag 0.7500 0.7500 0.7500  4 La 2.93, 4 Be 2.93
La 0.5000 0.5000 0.5000  4 Ag 2.93

=====

Record 7
Entry from Alexandria via LeMat-Bulk: an optimized crystal structure of LaBeAg2 (PBE-GGA).

Calculated values
formation energy: -0.05 eV/f.u.

a b c (Å): 4.4162 4.4162 5.7347
angles (deg): 67.51 67.51 59.77
Last column: nearest neighbours and their distance in Å.
Atoms (fractional coordinates):
Be 0.7500 0.7500 0.7500  6 Ag 2.61-2.62
Ag 0.0447 0.0447 0.8676  3 Be 2.61-2.62, 3 Ag 2.82
Ag 0.4553 0.4553 0.6324  3 Be 2.61-2.62, 3 Ag 2.82
La 0.2500 0.2500 0.2500  8 Ag 3.18-3.22

=====

Record 8
Entry from Alexandria via LeMat-Bulk: an optimized crystal structure of La4BeAg (PBE-GGA).

Calculated values
formation energy: 3.96 eV/f.u.

a b c (Å): 6.3930 6.3930 6.3930
angles (deg): 60.00 60.00 60.00
Last column: nearest neighbours and their distance in Å.
Atoms (fractional coordinates):
La 0.8774 0.3742 0.3742  6 La 3.18-3.22
La 0.3742 0.3742 0.8774  6 La 3.18-3.22
La 0.3742 0.8774 0.3742  6 La 3.18-3.22
La 0.3742 0.3742 0.3742  6 La 3.18-3.22
Be 0.0000 0.0000 0.0000  12 La 3.75, 4 Ag 3.91
Ag 0.7500 0.7500 0.7500  12 La 3.75, 4 Be 3.91

=====

| no. | total moment (μB per atom) |
| --- | --- |
| 1 | 0.36 |
| 2 | 0.00 |
| 3 | 0.17 |
| 4 | 0.00 |
| 5 | 0.00 |
| 6 | 0.00 |
| 7 | 0.00 |
| 8 | 0.00 |